A plane-wave DFT calculation with PBE with a Hubbard U was carried out for Li2NiO3 after structural relaxation.

Computed properties:
Total moment in μB/f.u.: 0.00
Relative energy among the computed polymorphs in meV per atom: 0
Theoretical density in g cm⁻³: 4.1
E_tot in eV per atom: -4.874

a b c (Å): 4.8927 4.8927 5.0091
angles (deg): 80.45 80.45 119.97
With the nearest neighbours (Å) after each atom.
Fractional positions:
Li1 0.5000 0.5000 0.0000  6 O 2.04-2.05
O1 0.7826 0.7826 0.2247  2 Ni 1.90, 4 Li 2.00-2.10
O2 0.5742 0.9330 0.7791  2 Ni 1.89, 2 Li 2.03-2.04
Ni1 0.8332 0.1668 0.0000  6 O 1.89-1.90
O3 0.2174 0.2174 0.7753  2 Ni 1.90, 4 Li 2.00-2.10
O4 0.4258 0.0670 0.2209  2 Ni 1.89, 2 Li 2.03-2.04
Li2 0.3383 0.6617 0.5000  6 O 2.03-2.16
Ni2 0.1668 0.8332 0.0000  6 O 1.89-1.90
Li3 0.0000 0.0000 0.5000  6 O 2.00-2.15
O5 0.9330 0.5742 0.7791  2 Ni 1.89, 2 Li 2.03-2.04
Li4 0.6617 0.3383 0.5000  6 O 2.03-2.16
O6 0.0670 0.4258 0.2209  2 Ni 1.89, 2 Li 2.03-2.04